Entry 1:
CuTcSn4: relaxed, PBE-GGA.

```
data_CuTcSn4
_symmetry_space_group_name_H-M 'P 1'
_symmetry_Int_Tables_number 1
_cell_length_a 6.6993
_cell_length_b 6.6993
_cell_length_c 7.3462
_cell_angle_alpha 117.13
_cell_angle_beta 117.13
_cell_angle_gamma 90.00
loop_
_symmetry_equiv_pos_as_xyz
'x,y,z'
loop_
_atom_site_label
_atom_site_type_symbol
_atom_site_fract_x
_atom_site_fract_y
_atom_site_fract_z
Cu1 Cu 0.5000 0.5000 0.0000
Cu2 Cu 0.0000 0.0000 0.0000
Tc1 Tc 0.2500 0.2500 0.5000
Tc2 Tc 0.7500 0.7500 0.5000
Sn1 Sn 0.4743 0.9743 0.2697
Sn2 Sn 0.9743 0.7954 0.2697
Sn3 Sn 0.2954 0.4743 0.2697
Sn4 Sn 0.7046 0.5257 0.7303
Sn5 Sn 0.0257 0.2046 0.7303
Sn6 Sn 0.5257 0.0257 0.7303
Sn7 Sn 0.2046 0.7046 0.7303
Sn8 Sn 0.7954 0.2954 0.2697
```

Density = 8.39 g cm⁻³
Energy above the lowest structure with this stoichiometry = 0 meV/atom
E_tot = -61.03 eV/cell
Formation energy from the elements = -0.0069 eV/atom

***

Entry 2:
Ac2LuV: relaxed, PBE-GGA.

```
data_Ac2LuV
_symmetry_space_group_name_H-M 'P 1'
_symmetry_Int_Tables_number 1
_cell_length_a 5.7137
_cell_length_b 5.7137
_cell_length_c 5.7158
_cell_angle_alpha 60.01
_cell_angle_beta 60.01
_cell_angle_gamma 60.00
loop_
_symmetry_equiv_pos_as_xyz
'x,y,z'
loop_
_atom_site_label
_atom_site_type_symbol
_atom_site_fract_x
_atom_site_fract_y
_atom_site_fract_z
Ac1 Ac 0.2501 0.2501 0.2498
Ac2 Ac 0.7499 0.7499 0.7502
Lu1 Lu 0.5000 0.5000 0.5000
V1 V 0.0000 0.0000 0.0000
```

Density = 8.56 g cm⁻³
E_tot = -20.27 eV/cell
Formation energy from the elements = 0.3972 eV/atom

***

Entry 3:
AlMoH: relaxed, PBE-GGA.

```
data_AlMoH
_symmetry_space_group_name_H-M 'P 1'
_symmetry_Int_Tables_number 1
_cell_length_a 2.9327
_cell_length_b 5.2049
_cell_length_c 8.8907
_cell_angle_alpha 90.00
_cell_angle_beta 90.00
_cell_angle_gamma 90.00
loop_
_symmetry_equiv_pos_as_xyz
'x,y,z'
loop_
_atom_site_label
_atom_site_type_symbol
_atom_site_fract_x
_atom_site_fract_y
_atom_site_fract_z
Al1 Al 0.7500 0.2301 0.9986
Al2 Al 0.2500 0.7699 0.0014
Al3 Al 0.7500 0.2699 0.4986
Al4 Al 0.2500 0.7301 0.5014
Mo1 Mo 0.7500 0.5852 0.2451
Mo2 Mo 0.2500 0.4148 0.7549
Mo3 Mo 0.7500 0.9148 0.7451
Mo4 Mo 0.2500 0.0852 0.2549
H1 H 0.2500 0.0925 0.6629
H2 H 0.7500 0.9075 0.3371
H3 H 0.2500 0.4075 0.1629
H4 H 0.7500 0.5925 0.8371
```

Density = 6.07 g cm⁻³
Energy above the lowest structure with this stoichiometry = 81 meV/atom
E_tot = -71.81 eV/cell

***

Entry 4:
LaTaW2: relaxed, PBE-GGA.

```
data_LaTaW2
_symmetry_space_group_name_H-M 'P 1'
_symmetry_Int_Tables_number 1
_cell_length_a 3.2609
_cell_length_b 4.8798
_cell_length_c 4.8798
_cell_angle_alpha 90.00
_cell_angle_beta 90.00
_cell_angle_gamma 90.00
loop_
_symmetry_equiv_pos_as_xyz
'x,y,z'
loop_
_atom_site_label
_atom_site_type_symbol
_atom_site_fract_x
_atom_site_fract_y
_atom_site_fract_z
La1 La 0.5000 0.5000 0.0000
Ta1 Ta 0.5000 0.0000 0.5000
W1 W 0.0000 0.0000 0.0000
W2 W 0.0000 0.5000 0.5000
```

Density = 14.70 g cm⁻³
Energy above the lowest structure with this stoichiometry = 388 meV/atom
E_tot = -39.61 eV/cell
Formation energy from the elements = 0.7687 eV/atom

***

Entry 5:
PrSm2Si: relaxed, PBE-GGA.

```
data_PrSm2Si
_symmetry_space_group_name_H-M 'P 1'
_symmetry_Int_Tables_number 1
_cell_length_a 3.6980
_cell_length_b 3.6980
_cell_length_c 11.2376
_cell_angle_alpha 80.53
_cell_angle_beta 80.53
_cell_angle_gamma 60.00
loop_
_symmetry_equiv_pos_as_xyz
'x,y,z'
loop_
_atom_site_label
_atom_site_type_symbol
_atom_site_fract_x
_atom_site_fract_y
_atom_site_fract_z
Pr1 Pr 0.0000 0.0000 0.0000
Si1 Si 0.5000 0.5000 0.5000
Sm1 Sm 0.1087 0.1087 0.6739
Sm2 Sm 0.8913 0.8913 0.3261
```

Density = 5.97 g cm⁻³
Energy above the lowest structure with this stoichiometry = 240 meV/atom
E_tot = -19.67 eV/cell
Formation energy (no corrections) = -0.032 eV per formula unit

***

Entry 6:
Mg2CdAg: relaxed, PBE-GGA.

```
data_Mg2CdAg
_symmetry_space_group_name_H-M 'P 1'
_symmetry_Int_Tables_number 1
_cell_length_a 3.3134
_cell_length_b 3.5691
_cell_length_c 6.7083
_cell_angle_alpha 90.00
_cell_angle_beta 90.00
_cell_angle_gamma 90.00
loop_
_symmetry_equiv_pos_as_xyz
'x,y,z'
loop_
_atom_site_label
_atom_site_type_symbol
_atom_site_fract_x
_atom_site_fract_y
_atom_site_fract_z
Mg1 Mg 0.0000 0.0000 0.0172
Mg2 Mg 0.0000 0.0000 0.4828
Ag1 Ag 0.5000 0.5000 0.2500
Cd1 Cd 0.5000 0.5000 0.7500
```

Density = 5.63 g cm⁻³
Energy above the lowest structure with this stoichiometry = 0 meV/atom
E_tot = -7.66 eV/cell
Formation energy from the elements = -0.1754 eV/atom

***

Entry 7:
BeTeH: relaxed, PBE-GGA.

```
data_BeTeH
_symmetry_space_group_name_H-M 'P 1'
_symmetry_Int_Tables_number 1
_cell_length_a 4.1214
_cell_length_b 5.7375
_cell_length_c 6.6422
_cell_angle_alpha 90.24
_cell_angle_beta 107.72
_cell_angle_gamma 108.35
loop_
_symmetry_equiv_pos_as_xyz
'x,y,z'
loop_
_atom_site_label
_atom_site_type_symbol
_atom_site_fract_x
_atom_site_fract_y
_atom_site_fract_z
Be1 Be 0.4702 0.9367 0.6173
Be2 Be 0.2643 0.2439 0.5629
Te1 Te 0.1302 0.5615 0.3658
Te2 Te 0.1099 0.0237 0.8305
H1 H 0.4282 0.5741 0.2365
H2 H 0.4643 0.1333 0.4737
```

Density = 3.24 g cm⁻³
Energy above the lowest structure with this stoichiometry = 168 meV/atom
E_tot = -20.65 eV/cell

***

Entry 8:
MgRhNF2: relaxed, PBE-GGA.

```
data_MgRhNF2
_symmetry_space_group_name_H-M 'P 1'
_symmetry_Int_Tables_number 1
_cell_length_a 3.5508
_cell_length_b 3.5508
_cell_length_c 5.1291
_cell_angle_alpha 90.00
_cell_angle_beta 90.00
_cell_angle_gamma 90.00
loop_
_symmetry_equiv_pos_as_xyz
'x,y,z'
loop_
_atom_site_label
_atom_site_type_symbol
_atom_site_fract_x
_atom_site_fract_y
_atom_site_fract_z
Mg1 Mg 0.0000 0.0000 0.0000
N1 N 0.0000 0.0000 0.5000
Rh1 Rh 0.5000 0.5000 0.5000
F1 F 0.0000 0.5000 0.0000
F2 F 0.5000 0.0000 0.0000
```

Density = 4.60 g cm⁻³
Energy above the lowest structure with this stoichiometry = 0 meV/atom
E_tot = -24.75 eV/cell
Formation energy (no corrections) = -3.734 eV per formula unit